Below is a geometry-optimized Ag4HgMo structure, with properties calculated at the PBE level.

Output
DFT total energy: -19.05 eV per cell
SG: F-43m (216)

Cell and atoms, written as POSCAR:
```
Ag4HgMo
1.0
0.0000 3.8649 3.8649
3.8649 0.0000 3.8649
3.8649 3.8649 0.0000
Ag Hg Mo
4 1 1
direct
0.8755 0.3748 0.3748
0.3748 0.3748 0.8755
0.3748 0.8755 0.3748
0.3748 0.3748 0.3748
0.7500 0.7500 0.7500
0.0000 0.0000 0.0000
```